First-principles (PBE) data for an optimized crystal structure of TaCrB4, as listed in Alexandria via LeMat-Bulk.

Geometry as CIF:
```
data_TaCrB4
_symmetry_space_group_name_H-M 'P b a m'
_symmetry_Int_Tables_number 55
_symmetry_space_group_name_Hall '-P 2 2ab'
_cell_length_a 5.770
_cell_length_b 11.177
_cell_length_c 3.191
_cell_angle_alpha 90.00
_cell_angle_beta 90.00
_cell_angle_gamma 90.00
loop_
_atom_site_label
_atom_site_type_symbol
_atom_site_fract_x
_atom_site_fract_y
_atom_site_fract_z
Ta1 Ta 0.131 0.150 0.000
Cr1 Cr 0.135 0.411 0.000
B1 B 0.021 0.695 0.500
B2 B 0.118 0.549 0.500
B3 B 0.130 0.968 0.500
B4 B 0.205 0.811 0.500
```

## Properties
**DOS(E_F)**: 9.772 states/eV/cell
**Formation energy**: -0.433 eV/atom

First-principles (PBE) data for an optimized crystal structure of Ta2CrB, as listed in Alexandria via LeMat-Bulk.

Geometry as CIF:
```
data_Ta2CrB
_symmetry_space_group_name_H-M 'I -4 2 d'
_symmetry_Int_Tables_number 122
_symmetry_space_group_name_Hall 'I -4 2bw'
_cell_length_a 7.782
_cell_length_b 7.782
_cell_length_c 4.073
_cell_angle_alpha 90.00
_cell_angle_beta 90.00
_cell_angle_gamma 90.00
loop_
_atom_site_label
_atom_site_type_symbol
_atom_site_fract_x
_atom_site_fract_y
_atom_site_fract_z
Ta1 Ta 0.122 0.250 0.125
Cr1 Cr 0.000 0.000 0.500
B1 B 0.000 0.000 0.000
```

## Properties
**DOS(E_F)**: 10.601 states/eV/cell
**Formation energy**: 0.370 eV/atom

First-principles (PBE) data for an optimized crystal structure of Ta3CrB, as listed in Alexandria via LeMat-Bulk.

Geometry as CIF:
```
data_Ta3CrB
_symmetry_space_group_name_H-M 'P m -3 m'
_symmetry_Int_Tables_number 221
_symmetry_space_group_name_Hall '-P 4 2 3'
_cell_length_a 4.314
_cell_length_b 4.314
_cell_length_c 4.314
_cell_angle_alpha 90.00
_cell_angle_beta 90.00
_cell_angle_gamma 90.00
loop_
_atom_site_label
_atom_site_type_symbol
_atom_site_fract_x
_atom_site_fract_y
_atom_site_fract_z
Ta1 Ta 0.000 0.000 0.500
Cr1 Cr 0.500 0.500 0.500
B1 B 0.000 0.000 0.000
```

## Properties
**Excess energy over the best structure of this formula in the dataset**: 0 meV/atom
**DOS(E_F)**: 7.682 states/eV/cell
**Formation energy**: 0.284 eV/atom

First-principles (PBE) data for an optimized crystal structure of TaCr2B4, as listed in Alexandria via LeMat-Bulk.

Geometry as CIF:
```
data_TaCr2B4
_symmetry_space_group_name_H-M 'I m m m'
_symmetry_Int_Tables_number 71
_symmetry_space_group_name_Hall '-I 2 2'
_cell_length_a 3.011
_cell_length_b 3.115
_cell_length_c 13.181
_cell_angle_alpha 90.00
_cell_angle_beta 90.00
_cell_angle_gamma 90.00
loop_
_atom_site_label
_atom_site_type_symbol
_atom_site_fract_x
_atom_site_fract_y
_atom_site_fract_z
Ta1 Ta 0.000 0.000 0.000
Cr1 Cr 0.000 0.500 0.313
B1 B 0.000 0.000 0.428
B2 B 0.000 0.500 0.144
```

## Properties
**DOS(E_F)**: 8.651 states/eV/cell
**Formation energy**: -0.562 eV/atom

First-principles (PBE) data for an optimized crystal structure of Ta3CrB4, as listed in Alexandria via LeMat-Bulk.

Geometry as CIF:
```
data_Ta3CrB4
_symmetry_space_group_name_H-M 'I m m m'
_symmetry_Int_Tables_number 71
_symmetry_space_group_name_Hall '-I 2 2'
_cell_length_a 3.249
_cell_length_b 4.703
_cell_length_c 11.996
_cell_angle_alpha 90.00
_cell_angle_beta 90.00
_cell_angle_gamma 90.00
loop_
_atom_site_label
_atom_site_type_symbol
_atom_site_fract_x
_atom_site_fract_y
_atom_site_fract_z
Ta1 Ta 0.000 0.000 0.000
Ta2 Ta 0.000 0.500 0.192
Cr1 Cr 0.000 0.000 0.500
B1 B 0.000 0.317 0.372
```

## Properties
**DOS(E_F)**: 7.632 states/eV/cell
**Formation energy**: -0.489 eV/atom

First-principles (PBE) data for an optimized crystal structure of TbCrB4, as listed in Alexandria via LeMat-Bulk.

Geometry as CIF:
```
data_TbCrB4
_symmetry_space_group_name_H-M 'P b a m'
_symmetry_Int_Tables_number 55
_symmetry_space_group_name_Hall '-P 2 2ab'
_cell_length_a 5.939
_cell_length_b 11.475
_cell_length_c 3.458
_cell_angle_alpha 90.00
_cell_angle_beta 90.00
_cell_angle_gamma 90.00
loop_
_atom_site_label
_atom_site_type_symbol
_atom_site_fract_x
_atom_site_fract_y
_atom_site_fract_z
Tb1 Tb 0.124 0.151 0.000
Cr1 Cr 0.122 0.421 0.000
B1 B 0.025 0.691 0.500
B2 B 0.113 0.547 0.500
B3 B 0.138 0.967 0.500
B4 B 0.221 0.816 0.500
```

## Properties
**DOS(E_F)**: 1.134 states/eV/cell
**Formation energy**: -0.654 eV/atom